No. 1
Density functional theory data (GGA-PBE) for an optimized crystal structure of TaCrCo.

Computed properties:
Mass density, g/cm3: 12.1
Fermi-level density of states, states/eV per atom: 1.275
Polymorph energy (0 for the lowest one), meV per atom: 210.6
Space group: Cmcm, No. 63
Formation energy, eV/atom: 0.022
Total DFT energy (no corrections), Ha/atom: -0.349
Total magnetization, Bohr magnetons per cell: 0.0

a b c (Å): 6.1869 6.1869 4.0857
angles (deg): 90.00 90.00 149.09
Positions (direct):
Ta: 0.0941 0.9059 0.7500
Ta: 0.9059 0.0941 0.2500
Cr: 0.4083 0.5917 0.7500
Cr: 0.5917 0.4083 0.2500
Co: 0.2418 0.7582 0.2500
Co: 0.7582 0.2418 0.7500

---

No. 2
Density functional theory data (GGA-PBE) for an optimized crystal structure of ZrTaCrCo.

Computed properties:
Mass density, g/cm3: 10.3
Fermi-level density of states, states/eV per atom: 0.571
Space group: F-43m, No. 216
Formation energy, eV/atom: -0.051
Total DFT energy (no corrections), Ha/atom: -0.343
Total magnetization, Bohr magnetons per cell: 0.3

a b c (Å): 4.4325 4.4325 4.4325
angles (deg): 60.00 60.00 60.00
Positions (direct):
Zr: 0.0000 0.0000 0.0000
Ta: 0.5000 0.5000 0.5000
Cr: 0.7500 0.7500 0.7500
Co: 0.2500 0.2500 0.2500